Record 1
VASP calculation (PBE) on KAgHg6 after structural relaxation.

Properties
ΔE_f (meV per atom): -65
Calculated volume (Å³ per cell): 218
Fermi-level density of states (states/eV/atom): 0.29
Uncorrected energy (eV per atom): -0.7847

Cell and atoms, written as POSCAR:
```
KAgHg6
1.0
5.1111 0.0000 1.5645
2.3161 4.5562 1.5645
-0.0569 -0.0349 9.3170
Hg Ag K
6 1 1
Direct
0.3626 0.3626 0.9123 Hg
0.6374 0.6374 0.0877 Hg
0.7583 0.7583 0.7250 Hg
0.1086 0.1086 0.6741 Hg
0.8914 0.8914 0.3259 Hg
0.2417 0.2417 0.2750 Hg
0.0000 0.0000 0.0000 Ag
0.5000 0.5000 0.5000 K
```



Record 2
VASP calculation (PBE) on KAg2Hg2 after structural relaxation.

Properties
ΔE_f (meV per atom): -53
Calculated volume (Å³ per cell): 141
Relative energy among the computed polymorphs (meV/atom): 0.0
Fermi-level density of states (states/eV/atom): 0.37
Uncorrected energy (eV per atom): -1.5333

Cell and atoms, written as POSCAR:
```
KAg2Hg2
1.0
-4.8221 -1.2456 -1.0909
1.4896 -1.7966 -4.5330
-0.8945 -6.4373 -0.6099
Ag K Hg
2 1 2
Direct
0.3753 0.3753 0.2494 Ag
0.6247 0.6247 0.7506 Ag
0.0000 0.0000 0.0000 K
0.7500 0.2500 0.5000 Hg
0.2500 0.7500 0.5000 Hg
```